[1]
{
  "formula": "ZrCu2Hg2",
  "functional": "PBE",
  "state": "optimized geometry",
  "crystal_system": "tetragonal",
  "relative_energy_mev_per_atom": 85,
  "delta_e_f_ev_per_atom": 0.1709,
  "cell": [[7.847, 0.000, 0.000], [0.000, 7.847, 0.000], [0.000, 0.000, 2.972]],
  "species": ["Zr", "Zr", "Cu", "Cu", "Cu", "Cu", "Hg", "Hg", "Hg", "Hg"],
  "frac_coords": [[0.000, 0.000, 0.000], [0.500, 0.500, 0.000], [0.168, 0.332, 0.500], [0.332, 0.832, 0.500], [0.668, 0.168, 0.500], [0.832, 0.668, 0.500], [0.133, 0.633, 0.000], [0.367, 0.133, 0.000], [0.633, 0.867, 0.000], [0.867, 0.367, 0.000]]
}



[2]
{
  "formula": "KNbSi2O",
  "functional": "PBE",
  "state": "optimized geometry",
  "crystal_system": "tetragonal",
  "e_form_raw_ev_per_atom": 0.9329,
  "cell": [[4.798, 0.000, 0.000], [0.000, 4.798, 0.000], [0.000, 0.000, 9.034]],
  "species": ["K", "Nb", "Si", "Si", "O"],
  "frac_coords": [[0.000, 0.000, 0.000], [0.000, 0.000, 0.500], [0.000, 0.500, 0.500], [0.500, 0.000, 0.500], [0.500, 0.500, 0.000]]
}



[3]
{
  "formula": "MgHPt3",
  "functional": "PBE",
  "state": "optimized geometry",
  "crystal_system": "cubic",
  "relative_energy_mev_per_atom": 1939,
  "cell": [[4.660, 0.000, 0.000], [0.000, 4.660, 0.000], [0.000, 0.000, 4.660]],
  "species": ["Mg", "H", "Pt", "Pt", "Pt"],
  "frac_coords": [[0.000, 0.000, 0.000], [0.500, 0.500, 0.500], [0.000, 0.000, 0.500], [0.000, 0.500, 0.000], [0.500, 0.000, 0.000]]
}



[4]
{
  "formula": "Na2CaCuCl5",
  "functional": "PBE",
  "state": "optimized geometry",
  "crystal_system": "orthorhombic",
  "e_form_raw_ev_per_atom": -1.6612,
  "cell": [[1.972, -8.842, 0.000], [1.972, 8.842, 0.000], [0.000, 0.000, 12.676]],
  "species": ["Na", "Na", "Na", "Na", "Ca", "Ca", "Cu", "Cu", "Cl", "Cl", "Cl", "Cl", "Cl", "Cl", "Cl", "Cl", "Cl", "Cl"],
  "frac_coords": [[0.074, 0.926, 0.500], [0.117, 0.883, 0.186], [0.883, 0.117, 0.686], [0.926, 0.074, 0.000], [0.207, 0.793, 0.885], [0.793, 0.207, 0.385], [0.431, 0.569, 0.269], [0.569, 0.431, 0.769], [0.052, 0.948, 0.866], [0.297, 0.703, 0.235], [0.299, 0.701, 0.533], [0.362, 0.638, 0.864], [0.498, 0.502, 0.619], [0.502, 0.498, 0.119], [0.638, 0.362, 0.364], [0.701, 0.299, 0.033], [0.703, 0.297, 0.735], [0.948, 0.052, 0.366]]
}



[5]
{
  "formula": "CeTcSnRh",
  "functional": "PBE",
  "state": "optimized geometry",
  "crystal_system": "cubic",
  "delta_e_f_ev_per_atom": -0.4147,
  "cell": [[6.717, 0.000, 0.000], [0.000, 6.717, 0.000], [0.000, 0.000, 6.717]],
  "species": ["Ce", "Ce", "Ce", "Ce", "Tc", "Tc", "Tc", "Tc", "Sn", "Sn", "Sn", "Sn", "Rh", "Rh", "Rh", "Rh"],
  "frac_coords": [[0.000, 0.000, 0.000], [0.000, 0.500, 0.500], [0.500, 0.000, 0.500], [0.500, 0.500, 0.000], [0.250, 0.250, 0.250], [0.250, 0.750, 0.750], [0.750, 0.250, 0.750], [0.750, 0.750, 0.250], [0.000, 0.000, 0.500], [0.000, 0.500, 0.000], [0.500, 0.000, 0.000], [0.500, 0.500, 0.500], [0.250, 0.250, 0.750], [0.250, 0.750, 0.250], [0.750, 0.250, 0.250], [0.750, 0.750, 0.750]]
}



[6]
{
  "formula": "BaH3Pb",
  "functional": "PBE",
  "state": "optimized geometry",
  "crystal_system": "cubic",
  "relative_energy_mev_per_atom": 0,
  "cell": [[4.508, 0.000, 0.000], [0.000, 4.508, 0.000], [0.000, 0.000, 4.508]],
  "species": ["Ba", "H", "H", "H", "Pb"],
  "frac_coords": [[0.000, 0.000, 0.000], [0.000, 0.500, 0.500], [0.500, 0.000, 0.500], [0.500, 0.500, 0.000], [0.500, 0.500, 0.500]]
}



- What is the formula in the third record?
  MgHPt3